(1)
An optimized crystal structure of Pr8HgAu2, computed with GGA-PBE.

Lattice parameters (Å, degrees): 9.911 9.911 7.230 107.47 107.47 31.08
Atoms (fractional coordinates):
Pr (0.024, 0.024, 0.268)
Pr (0.199, 0.199, 0.842)
Pr (0.328, 0.328, 0.506)
Pr (0.408, 0.408, 0.026)
Pr (0.592, 0.592, 0.974)
Pr (0.672, 0.672, 0.494)
Pr (0.801, 0.801, 0.158)
Pr (0.976, 0.976, 0.732)
Hg (0.500, 0.500, 0.500)
Au (0.175, 0.175, 0.236)
Au (0.825, 0.825, 0.764)

Values from the calculation:
ΔE to the lowest computed polymorph ... 0.0 meV per atom
Symmetry ... C2/m (12)
ΔE_f ... -346 meV per atom
Magnetic moment ... 0.0 μB/cell

***

(2)
An optimized crystal structure of Sr2ScMo, computed with GGA-PBE.

Lattice parameters (Å, degrees): 4.837 4.837 8.669 95.15 95.15 42.22
Atoms (fractional coordinates):
Sr (0.000, 0.000, 0.000)
Sr (0.218, 0.218, 0.602)
Sc (0.756, 0.756, 0.271)
Mo (0.490, 0.490, 0.340)

Values from the calculation:
ΔE to the lowest computed polymorph ... 182.4 meV per atom
Symmetry ... Cm (8)
ΔE_f ... 643 meV per atom
Magnetic moment ... 0.0 μB/cell

***

(3)
An optimized crystal structure of Ce4AlI6, computed with GGA-PBE.

Lattice parameters (Å, degrees): 10.631 10.631 7.771 90.00 90.00 90.00
Atoms (fractional coordinates):
Ce (0.006, 0.750, 0.086)
Ce (0.250, 0.506, 0.414)
Ce (0.250, 0.994, 0.414)
Ce (0.494, 0.750, 0.086)
Ce (0.506, 0.250, 0.914)
Ce (0.750, 0.006, 0.586)
Ce (0.750, 0.494, 0.586)
Ce (0.994, 0.250, 0.914)
Al (0.250, 0.750, 0.250)
Al (0.750, 0.250, 0.750)
I (0.043, 0.543, 0.750)
I (0.043, 0.957, 0.750)
I (0.250, 0.250, 0.157)
I (0.250, 0.250, 0.657)
I (0.457, 0.543, 0.750)
I (0.457, 0.957, 0.750)
I (0.543, 0.043, 0.250)
I (0.543, 0.457, 0.250)
I (0.750, 0.750, 0.343)
I (0.750, 0.750, 0.843)
I (0.957, 0.043, 0.250)
I (0.957, 0.457, 0.250)

Values from the calculation:
Formation energy (no corrections) ... -76.4 kJ per mole of atoms
Symmetry ... P4_2/nmc (137)
Magnetic moment ... 10.1 μB/cell

***

Copy entry 3 word for word.
An optimized crystal structure of Ce4AlI6, computed with GGA-PBE.

Lattice parameters (Å, degrees): 10.631 10.631 7.771 90.00 90.00 90.00
Atoms (fractional coordinates):
Ce (0.006, 0.750, 0.086)
Ce (0.250, 0.506, 0.414)
Ce (0.250, 0.994, 0.414)
Ce (0.494, 0.750, 0.086)
Ce (0.506, 0.250, 0.914)
Ce (0.750, 0.006, 0.586)
Ce (0.750, 0.494, 0.586)
Ce (0.994, 0.250, 0.914)
Al (0.250, 0.750, 0.250)
Al (0.750, 0.250, 0.750)
I (0.043, 0.543, 0.750)
I (0.043, 0.957, 0.750)
I (0.250, 0.250, 0.157)
I (0.250, 0.250, 0.657)
I (0.457, 0.543, 0.750)
I (0.457, 0.957, 0.750)
I (0.543, 0.043, 0.250)
I (0.543, 0.457, 0.250)
I (0.750, 0.750, 0.343)
I (0.750, 0.750, 0.843)
I (0.957, 0.043, 0.250)
I (0.957, 0.457, 0.250)

Values from the calculation:
Formation energy (no corrections) ... -76.4 kJ per mole of atoms
Symmetry ... P4_2/nmc (137)
Magnetic moment ... 10.1 μB/cell